First-principles (GGA-PBEsol) data for an optimized crystal structure of SrSi3Au, as listed in Alexandria.

Geometry as CIF:
```
data_SrSi3Au
_chemical_formula_sum 'Sr2 Si6 Au2'
_cell_length_a 4.398
_cell_length_b 4.398
_cell_length_c 9.821
_cell_angle_alpha 90.00
_cell_angle_beta 90.00
_cell_angle_gamma 90.00
_space_group_name_H-M_alt 'I 4 m m'
_space_group_IT_number 107
_space_group_name_Hall 'I 4 -2'
loop_
_atom_site_label
_atom_site_type_symbol
_atom_site_fract_x
_atom_site_fract_y
_atom_site_fract_z
_atom_site_occupancy
Sr1 Sr 0.000 0.000 0.000 1
Si1 Si 0.000 0.000 0.619 1
Si2 Si 0.000 0.500 0.243 1
Au1 Au 0.000 0.000 0.366 1
```

Properties
The formation energy (no corrections) is -449 meV per atom. The total moment is 0.000 μB/atom. Its volume is 19.0 Å³ per atom.